A geometry-optimized Ac2Dy6Er structure. Source: Alexandria via LeMat-Bulk, functional PBE.

It has space group P2/m (No. 10), with a = 8.773 Å, b = 3.630 Å, c = 10.070 Å, α = 90.00°, β = 101.96° and γ = 90.00°. The asymmetric unit holds Ac at (0.194, 0.000, 0.462), Dy at (0.123, 0.500, 0.786), Dy at (0.183, 0.000, 0.098), Dy at (0.480, 0.500, 0.323) and Er at (0.500, 0.500, 0.000).

The total energy is -4.35 eV per atom. The formation energy is 0.137 eV/atom.